Entry 1:
First-principles (PBE) data for an optimized crystal structure of Pm8Sm3Dy3, as listed in Alexandria.

Cell: 5.7170 9.7983 9.7983 Å, 101.97 73.04 73.04°
With the nearest neighbours (Å) after each atom.
Fractional coordinates of all 14 atoms:
Sm1 0.5000 0.0000 0.0000  4 Dy 3.60, 4 Sm 3.96, 4 Pm 4.02
Sm2 0.0000 0.8197 0.1803  2 Dy 3.51, 8 Pm 3.66-3.79
Sm3 0.0000 0.1803 0.8197  2 Dy 3.51, 8 Pm 3.66-3.79
Pm1 0.6588 0.1187 0.5637  6 Pm 3.30-3.58, 2 Sm 3.66
Pm2 0.6588 0.5637 0.1187  6 Pm 3.30-3.58, 2 Sm 3.66
Pm3 0.3412 0.8813 0.4363  6 Pm 3.30-3.58, 2 Sm 3.66
Pm4 0.1615 0.2350 0.4420  4 Pm 3.15-3.38
Pm5 0.8385 0.7650 0.5580  4 Pm 3.15-3.38
Pm6 0.8385 0.5580 0.7650  4 Pm 3.15-3.38
Pm7 0.1615 0.4420 0.2350  4 Pm 3.15-3.38
Pm8 0.3412 0.4363 0.8813  6 Pm 3.30-3.58, 2 Sm 3.66
Dy1 0.5000 0.5000 0.5000  2 Dy 3.27
Dy2 0.2006 0.7993 0.7993  1 Dy 3.27, 4 Sm 3.51-3.60, 4 Pm 3.59
Dy3 0.7994 0.2007 0.2007  1 Dy 3.27, 4 Sm 3.51-3.60, 4 Pm 3.59

Output
Its energy of formation from the pure elements is 102 meV per atom. The calculation puts the total magnetization at 0.00 μB/f.u.

Entry 2:
First-principles (PBE) data for an optimized crystal structure of PmSmDy2, as listed in Alexandria.

Cell: 5.0577 5.0848 5.0848 Å, 90.00 90.00 90.00°
With the nearest neighbours (Å) after each atom.
Fractional coordinates of all 4 atoms:
Sm1 0.5000 0.0000 0.0000  8 Dy 3.59, 4 Pm 3.60
Dy1 0.0000 0.0000 0.5000  4 Pm 3.59, 4 Sm 3.59, 4 Dy 3.60
Dy2 0.0000 0.5000 0.0000  4 Pm 3.59, 4 Sm 3.59, 4 Dy 3.60
Pm1 0.5000 0.5000 0.5000  8 Dy 3.59, 4 Sm 3.60

Output
The calculation puts the energy above the most stable polymorph in this dataset at 0.025 eV per formula unit. Its energy of formation from the pure elements is 19 meV per atom. The calculation puts the total magnetization at 0.00 μB/f.u.

Entry 3:
First-principles (PBE) data for an optimized crystal structure of PmSm2Dy3, as listed in Alexandria.

Cell: 3.5135 10.3154 11.7771 Å, 108.29 98.58 90.00°
With the nearest neighbours (Å) after each atom.
Fractional coordinates of all 12 atoms:
Pm1 0.3133 0.9622 0.6265  5 Dy 3.39-3.71, 3 Sm 3.41-3.69, 4 Pm 3.51-3.72
Pm2 0.6867 0.0378 0.3735  5 Dy 3.39-3.71, 3 Sm 3.41-3.69, 4 Pm 3.51-3.72
Dy1 0.6950 0.7152 0.3900  3 Pm 3.39-3.57, 5 Dy 3.49-3.60, 3 Sm 3.52
Dy2 0.5592 0.4450 0.1183  8 Dy 3.30-3.67, 3 Sm 3.40-3.68
Dy3 0.3050 0.2848 0.6100  3 Pm 3.39-3.57, 5 Dy 3.49-3.60, 3 Sm 3.52
Dy4 0.0685 0.7632 0.1370  8 Dy 3.51-3.67, 2 Sm 3.63-3.88, 2 Pm 3.71
Dy5 0.9315 0.2368 0.8630  8 Dy 3.51-3.67, 2 Sm 3.63-3.88, 2 Pm 3.71
Dy6 0.4408 0.5550 0.8817  8 Dy 3.30-3.67, 3 Sm 3.40-3.68
Sm1 0.9320 0.8611 0.8640  5 Sm 3.51-3.57, 4 Dy 3.63-3.88, 2 Pm 3.69
Sm2 0.3084 0.6280 0.6168  4 Dy 3.40-3.52, 1 Pm 3.41, 6 Sm 3.51-3.59
Sm3 0.6916 0.3720 0.3832  4 Dy 3.40-3.52, 1 Pm 3.41, 6 Sm 3.51-3.59
Sm4 0.0680 0.1389 0.1360  5 Sm 3.51-3.57, 4 Dy 3.63-3.88, 2 Pm 3.69

Output
The calculation puts the energy above the most stable polymorph in this dataset at 0.000 eV per formula unit. Its energy of formation from the pure elements is 120 meV per atom. The calculation puts the total magnetization at 0.00 μB/f.u.

Entry 4:
First-principles (PBE) data for an optimized crystal structure of Pm3Sm3Dy, as listed in Alexandria.

Cell: 5.8239 9.7188 9.7188 Å, 120.00 90.00 90.00°
With the nearest neighbours (Å) after each atom.
Fractional coordinates of all 14 atoms:
Dy1 0.2500 0.6667 0.3333  9 Sm 3.60-3.67, 3 Pm 3.66
Dy2 0.7500 0.3333 0.6667  9 Sm 3.60-3.67, 3 Pm 3.66
Sm1 0.2500 0.0950 0.6185  5 Pm 3.59-3.68, 4 Sm 3.60-3.67, 3 Dy 3.60-3.67
Sm2 0.2500 0.5235 0.9050  5 Pm 3.59-3.68, 4 Sm 3.60-3.67, 3 Dy 3.60-3.67
Sm3 0.7500 0.6185 0.5235  5 Pm 3.59-3.68, 4 Sm 3.60-3.67, 3 Dy 3.60-3.67
Sm4 0.2500 0.3815 0.4765  5 Pm 3.59-3.68, 4 Sm 3.60-3.67, 3 Dy 3.60-3.67
Sm5 0.7500 0.9050 0.3815  5 Pm 3.59-3.68, 4 Sm 3.60-3.67, 3 Dy 3.60-3.67
Sm6 0.7500 0.4765 0.0950  5 Pm 3.59-3.68, 4 Sm 3.60-3.67, 3 Dy 3.60-3.67
Pm1 0.2500 0.8074 0.7603  5 Sm 3.59-3.68, 6 Pm 3.61-3.70, 1 Dy 3.66
Pm2 0.7500 0.7603 0.9529  5 Sm 3.59-3.68, 6 Pm 3.61-3.70, 1 Dy 3.66
Pm3 0.2500 0.2397 0.0471  5 Sm 3.59-3.68, 6 Pm 3.61-3.70, 1 Dy 3.66
Pm4 0.7500 0.1926 0.2397  5 Sm 3.59-3.68, 6 Pm 3.61-3.70, 1 Dy 3.66
Pm5 0.7500 0.0471 0.8074  5 Sm 3.59-3.68, 6 Pm 3.61-3.70, 1 Dy 3.66
Pm6 0.2500 0.9529 0.1926  5 Sm 3.59-3.68, 6 Pm 3.61-3.70, 1 Dy 3.66

Output
The calculation puts the energy above the most stable polymorph in this dataset at 0.000 eV per formula unit. Its energy of formation from the pure elements is 24 meV per atom. The calculation puts the total magnetization at 0.00 μB/f.u.

Entry 5:
First-principles (PBE) data for an optimized crystal structure of Pm5SmDy4, as listed in Alexandria.

Cell: 3.5932 10.5080 9.2846 Å, 83.96 101.16 90.00°
With the nearest neighbours (Å) after each atom.
Fractional coordinates of all 10 atoms:
Dy1 0.0457 0.2394 0.0915  2 Sm 3.27, 4 Pm 3.29-3.43, 4 Dy 3.34-3.59
Dy2 0.6831 0.0888 0.3662  6 Dy 3.34-3.59, 1 Sm 3.56, 1 Pm 3.66
Dy3 0.9543 0.7606 0.9085  2 Sm 3.27, 4 Pm 3.29-3.43, 4 Dy 3.34-3.59
Dy4 0.3169 0.9112 0.6338  6 Dy 3.34-3.59, 1 Sm 3.56, 1 Pm 3.66
Pm1 0.5000 0.5000 0.0000  4 Dy 3.31, 2 Pm 3.59
Pm2 0.8577 0.2324 0.7153  2 Dy 3.43-3.66, 5 Pm 3.59-3.84, 2 Sm 3.82
Pm3 0.8109 0.5957 0.6218  1 Dy 3.29, 4 Pm 3.59-3.63
Pm4 0.1423 0.7676 0.2847  2 Dy 3.43-3.66, 5 Pm 3.59-3.84, 2 Sm 3.82
Pm5 0.1891 0.4043 0.3782  1 Dy 3.29, 4 Pm 3.59-3.63
Sm1 0.5000 0.0000 0.0000  6 Dy 3.27-3.56, 2 Sm 3.59

Output
The calculation puts the energy above the most stable polymorph in this dataset at 1.173 eV per formula unit. Its energy of formation from the pure elements is 153 meV per atom. The calculation puts the total magnetization at 0.00 μB/f.u.

Entry 6:
First-principles (PBE) data for an optimized crystal structure of Pm5Sm3Dy3, as listed in Alexandria.

Cell: 3.4600 11.3232 11.3232 Å, 120.00 90.00 90.00°
With the nearest neighbours (Å) after each atom.
Fractional coordinates of all 11 atoms:
Pm1 0.5000 0.6667 0.3333  5 Pm 3.46-3.75, 6 Sm 3.86
Pm2 0.5000 0.3385 0.0000  2 Dy 3.32, 2 Sm 3.40, 2 Pm 3.46
Pm3 0.5000 0.3333 0.6667  5 Pm 3.46-3.75, 6 Sm 3.86
Pm4 0.5000 0.0000 0.3385  2 Dy 3.32, 2 Sm 3.40, 2 Pm 3.46
Pm5 0.5000 0.6615 0.6615  2 Dy 3.32, 2 Sm 3.40, 2 Pm 3.46
Sm1 0.0000 0.4035 0.4035  2 Dy 3.26, 2 Pm 3.40, 2 Sm 3.46
Sm2 0.0000 0.0000 0.5965  2 Dy 3.26, 2 Pm 3.40, 2 Sm 3.46
Sm3 0.0000 0.5965 0.0000  2 Dy 3.26, 2 Pm 3.40, 2 Sm 3.46
Dy1 0.5000 0.0000 0.8407  4 Dy 3.12-3.46, 2 Sm 3.26, 2 Pm 3.32
Dy2 0.5000 0.8407 0.0000  4 Dy 3.12-3.46, 2 Sm 3.26, 2 Pm 3.32
Dy3 0.5000 0.1593 0.1593  4 Dy 3.12-3.46, 2 Sm 3.26, 2 Pm 3.32

Output
The calculation puts the energy above the most stable polymorph in this dataset at 0.000 eV per formula unit. Its energy of formation from the pure elements is 321 meV per atom. The calculation puts the total magnetization at 0.00 μB/f.u.